No. 1
A geometry-optimized BaMn3 structure. Source: the Alexandria database, functional GGA-PBE.

Cell: 5.995 5.995 5.995 Å, 147.86 128.50 62.01°
Sites, in units of the cell vectors:
Ba1 0.000 0.000 0.000
Mn1 0.285 0.785 0.500
Mn2 0.500 0.500 0.000
Mn3 0.715 0.215 0.500

Values from the calculation:
Crystal system   orthorhombic
Energy above the most stable polymorph in this dataset   343 meV per atom
Formation energy   932 meV per atom
DOS at the Fermi energy   3.6 states/eV/f.u.

---

No. 2
A geometry-optimized MgCrFe2 structure. Source: the Alexandria database, functional GGA-PBE.

Cell: 5.255 5.255 5.255 Å, 104.12 104.12 120.80°
Sites, in units of the cell vectors:
Mg1 0.000 0.000 0.000
Mg2 0.750 0.250 0.500
Cr1 0.250 0.750 0.500
Cr2 0.500 0.500 0.000
Fe1 0.179 0.625 0.054
Fe2 0.375 0.429 0.554
Fe3 0.571 0.125 0.946
Fe4 0.875 0.821 0.446

Values from the calculation:
Crystal system   tetragonal
Formation energy   642 meV per atom
DOS at the Fermi energy   2.4 states/eV/f.u.

---

No. 3
A geometry-optimized La2HfInH structure. Source: the Alexandria database, functional GGA-PBE.

Cell: 4.911 4.911 4.826 Å, 90.00 90.00 90.00°
Sites, in units of the cell vectors:
La1 0.000 0.500 0.000
La2 0.500 0.000 0.000
Hf1 0.000 0.000 0.500
In1 0.500 0.500 0.500
H1 0.000 0.000 0.000

Values from the calculation:
Crystal system   tetragonal
DOS at the Fermi energy   5.4 states/eV/f.u.

---

No. 4
A geometry-optimized LaTbCe2S4 structure. Source: the Alexandria database, functional GGA-PBE.

Cell: 7.000 4.024 7.001 Å, 90.00 109.34 90.00°
Sites, in units of the cell vectors:
La1 0.000 0.000 0.000
Tb1 0.500 0.500 0.000
Ce1 0.000 0.500 0.500
Ce2 0.500 0.000 0.500
S1 0.260 0.000 0.754
S2 0.260 0.500 0.252
S3 0.740 0.000 0.246
S4 0.740 0.500 0.748

Values from the calculation:
Formation energy without anion corrections   -16.47 eV per formula unit
Crystal system   monoclinic
DOS at the Fermi energy   11.5 states/eV/f.u.

---

No. 5
A geometry-optimized SrRh2O4 structure. Source: the Alexandria database, functional GGA-PBE.

Cell: 9.339 3.215 11.119 Å, 90.00 90.00 90.00°
Sites, in units of the cell vectors:
Sr1 0.236 0.250 0.161
Sr2 0.264 0.750 0.661
Sr3 0.736 0.250 0.339
Sr4 0.764 0.750 0.839
Rh1 0.056 0.250 0.387
Rh2 0.088 0.250 0.901
Rh3 0.412 0.750 0.401
Rh4 0.444 0.750 0.887
Rh5 0.556 0.250 0.113
Rh6 0.588 0.250 0.599
Rh7 0.912 0.750 0.099
Rh8 0.944 0.750 0.613
O1 0.037 0.750 0.789
O2 0.080 0.250 0.572
O3 0.115 0.750 0.021
O4 0.194 0.750 0.340
O5 0.306 0.250 0.840
O6 0.385 0.250 0.521
O7 0.420 0.750 0.072
O8 0.463 0.250 0.289
O9 0.537 0.750 0.711
O10 0.580 0.250 0.928
O11 0.615 0.750 0.479
O12 0.694 0.750 0.160
O13 0.806 0.250 0.660
O14 0.885 0.250 0.979
O15 0.920 0.750 0.428
O16 0.963 0.250 0.211

Values from the calculation:
Formation energy without anion corrections   -9.38 eV per formula unit
Crystal system   orthorhombic

---

No. 6
A geometry-optimized ZnCuTe2 structure. Source: the Alexandria database, functional GGA-PBE.

Cell: 7.386 7.386 7.386 Å, 131.74 131.74 70.64°
Sites, in units of the cell vectors:
Zn1 0.000 0.000 0.000
Zn2 0.750 0.250 0.500
Cu1 0.250 0.750 0.500
Cu2 0.500 0.500 0.000
Te1 0.139 0.625 0.014
Te2 0.375 0.389 0.514
Te3 0.611 0.125 0.986
Te4 0.875 0.861 0.486

Values from the calculation:
Formation energy without anion corrections   -0.88 eV per formula unit
Crystal system   tetragonal
Energy above the most stable polymorph in this dataset   4 meV per atom
DOS at the Fermi energy   3.1 states/eV/f.u.

---

The records above yield E_tot values of -6.43 -6.39 -5.37 -6.80 -6.51 -3.13 eV/atom, respectively.